[1]
DFT (PBE-GGA) results for Dy5Er4Tm3 after structural relaxation. Values from VASP.

```
&SYSTEM
  ibrav = 0, nat = 12, ntyp = 3
/
ATOMIC_SPECIES
Dy 162.50 Dy.upf
Er 167.26 Er.upf
Tm 168.93 Tm.upf
CELL_PARAMETERS angstrom
6.074 0.000 0.000
0.013 7.023 0.000
0.011 0.003 8.585
ATOMIC_POSITIONS angstrom
Dy 0.000 0.000 0.000
Dy 2.035 3.512 5.718
Dy 3.054 1.758 8.584
Dy 3.044 5.268 0.001
Dy 4.063 3.514 2.867
Er 1.018 1.757 2.865
Er 2.048 7.023 5.717
Er 4.050 0.003 2.867
Er 5.081 5.269 5.720
Tm 0.006 3.511 0.000
Tm 1.025 5.270 2.866
Tm 5.073 1.755 5.719
```

Properties
* space-group type: P-1 (2)
* crystal system: triclinic
* formation energy from the elements: 0.022 eV/atom

---

[2]
DFT (PBE-GGA) results for MgTaHg4 after structural relaxation. Values from VASP.

```
&SYSTEM
  ibrav = 0, nat = 6, ntyp = 3
/
ATOMIC_SPECIES
Mg 24.30 Mg.upf
Ta 180.95 Ta.upf
Hg 200.59 Hg.upf
CELL_PARAMETERS angstrom
0.000 4.070 4.070
4.070 0.000 4.070
4.070 4.070 0.000
ATOMIC_POSITIONS angstrom
Mg 0.000 0.000 0.000
Ta 6.105 6.105 6.105
Hg 3.055 3.055 3.055
Hg 5.085 5.085 3.055
Hg 5.085 3.055 5.085
Hg 3.055 5.085 5.085
```

Properties
* space-group type: F-43m (216)
* crystal system: cubic
* formation energy from the elements: 0.659 eV/atom

---

[3]
DFT (PBE-GGA) results for TmSiPd2 after structural relaxation. Values from VASP.

```
&SYSTEM
  ibrav = 0, nat = 4, ntyp = 3
/
ATOMIC_SPECIES
Tm 168.93 Tm.upf
Si 28.09 Si.upf
Pd 106.42 Pd.upf
CELL_PARAMETERS angstrom
2.158 1.246 4.441
-2.158 1.246 4.441
0.000 -2.491 4.441
ATOMIC_POSITIONS angstrom
Tm 0.000 0.000 0.000
Si 0.000 0.000 6.661
Pd 0.000 0.000 2.883
Pd 0.000 0.000 10.440
```

Properties
* VASP energy: -5.888 eV per atom
* space-group type: R-3m (166)
* crystal system: trigonal

---

[4]
DFT (PBE-GGA) results for InSn2BiRh after structural relaxation. Values from VASP.

```
&SYSTEM
  ibrav = 0, nat = 5, ntyp = 4
/
ATOMIC_SPECIES
In 114.82 In.upf
Sn 118.71 Sn.upf
Bi 208.98 Bi.upf
Rh 102.91 Rh.upf
CELL_PARAMETERS angstrom
5.185 0.000 0.000
0.000 5.185 0.000
0.000 0.000 5.174
ATOMIC_POSITIONS angstrom
In 0.000 0.000 0.000
Sn 0.000 2.592 2.587
Sn 2.592 0.000 2.587
Bi 2.592 2.592 0.000
Rh 0.000 0.000 2.587
```

Properties
* space-group type: P4/mmm (123)
* crystal system: tetragonal
* formation energy from the elements: -0.041 eV/atom

---

[5]
DFT (PBE-GGA) results for KMnCl3 after structural relaxation. Values from VASP.

```
&SYSTEM
  ibrav = 0, nat = 5, ntyp = 3
/
ATOMIC_SPECIES
K 39.10 K.upf
Mn 54.94 Mn.upf
Cl 35.45 Cl.upf
CELL_PARAMETERS angstrom
4.603 0.000 0.000
0.000 4.603 0.000
0.000 0.000 7.766
ATOMIC_POSITIONS angstrom
K 0.000 0.000 0.000
Mn 2.301 2.301 3.071
Cl 0.000 0.000 4.902
Cl 0.000 2.301 2.107
Cl 2.301 0.000 2.107
```

Properties
* VASP energy: -4.212 eV per atom
* space-group type: P4mm (99)
* crystal system: tetragonal

---

[6]
DFT (PBE-GGA) results for HoGa after structural relaxation. Values from VASP.

```
&SYSTEM
  ibrav = 0, nat = 8, ntyp = 2
/
ATOMIC_SPECIES
Ho 164.93 Ho.upf
Ga 69.72 Ga.upf
CELL_PARAMETERS angstrom
4.390 -3.652 0.000
4.390 3.652 0.000
0.000 0.000 5.578
ATOMIC_POSITIONS angstrom
Ho 1.663 1.116 1.395
Ho 1.663 -1.116 4.184
Ho 7.118 1.116 1.395
Ho 7.118 -1.116 4.184
Ga 4.390 2.331 1.395
Ga 4.390 0.000 0.000
Ga 4.390 0.000 2.789
Ga 4.390 -2.331 4.184
```

Properties
* space-group type: Cmcm (63)
* crystal system: orthorhombic
* formation energy from the elements: -0.541 eV/atom

---

[7]
DFT (PBE-GGA) results for Al4NiPd2Au after structural relaxation. Values from VASP.

```
&SYSTEM
  ibrav = 0, nat = 8, ntyp = 4
/
ATOMIC_SPECIES
Al 26.98 Al.upf
Ni 58.69 Ni.upf
Pd 106.42 Pd.upf
Au 196.97 Au.upf
CELL_PARAMETERS angstrom
2.160 1.247 7.180
-2.160 1.247 7.180
0.000 -2.494 7.180
ATOMIC_POSITIONS angstrom
Al 0.000 0.000 2.546
Al 0.000 0.000 7.986
Al 0.000 0.000 13.554
Al 0.000 0.000 18.994
Ni 0.000 0.000 0.000
Pd 0.000 0.000 5.451
Pd 0.000 0.000 16.089
Au 0.000 0.000 10.770
```

Properties
* space-group type: R-3m (166)
* crystal system: trigonal
* formation energy from the elements: -0.647 eV/atom

---

[8]
DFT (PBE-GGA) results for BaAl2Si2 after structural relaxation. Values from VASP.

```
&SYSTEM
  ibrav = 0, nat = 10, ntyp = 3
/
ATOMIC_SPECIES
Ba 137.33 Ba.upf
Al 26.98 Al.upf
Si 28.09 Si.upf
CELL_PARAMETERS angstrom
2.182 -5.402 0.000
2.182 5.402 0.000
0.000 0.000 10.238
ATOMIC_POSITIONS angstrom
Ba 2.182 4.465 7.679
Ba 2.182 -4.465 2.560
Al 2.182 1.312 5.477
Al 2.182 1.312 9.880
Al 2.182 -1.312 0.358
Al 2.182 -1.312 4.761
Si 2.182 3.244 1.355
Si 2.182 3.244 3.764
Si 2.182 -3.244 6.474
Si 2.182 -3.244 8.884
```

Properties
* VASP energy: -4.301 eV per atom
* space-group type: Cmcm (63)
* crystal system: orthorhombic

---

[9]
DFT (PBE-GGA) results for Zr3TiBi after structural relaxation. Values from VASP.

```
&SYSTEM
  ibrav = 0, nat = 5, ntyp = 3
/
ATOMIC_SPECIES
Zr 91.22 Zr.upf
Ti 47.87 Ti.upf
Bi 208.98 Bi.upf
CELL_PARAMETERS angstrom
5.007 0.000 0.000
0.000 5.007 0.000
0.000 0.000 5.007
ATOMIC_POSITIONS angstrom
Zr 0.000 0.000 2.503
Zr 0.000 2.503 0.000
Zr 2.503 0.000 0.000
Ti 0.000 0.000 0.000
Bi 2.503 2.503 2.503
```

Properties
* space-group type: Pm-3m (221)
* crystal system: cubic
* formation energy from the elements: 0.581 eV/atom

---

[10]
DFT (PBE-GGA) results for AlTl2GaB after structural relaxation. Values from VASP.

```
&SYSTEM
  ibrav = 0, nat = 5, ntyp = 4
/
ATOMIC_SPECIES
Al 26.98 Al.upf
Tl 204.38 Tl.upf
Ga 69.72 Ga.upf
B 10.81 B.upf
CELL_PARAMETERS angstrom
5.287 0.000 0.000
0.000 5.287 0.000
0.000 0.000 4.021
ATOMIC_POSITIONS angstrom
Al 0.000 0.000 0.000
Tl 0.000 2.643 2.011
Tl 2.643 0.000 2.011
Ga 2.643 2.643 0.000
B 0.000 0.000 2.011
```

Properties
* space-group type: P4/mmm (123)
* crystal system: tetragonal
* formation energy from the elements: 0.553 eV/atom